Entry 1:
Nd2MgTa2Rh5: optimized geometry, GGA-PBE.

The space group is P4/mbm (No. 127) and the conventional cell measures 10.947, 10.947 and 3.188 Å, with angles of 90.00, 90.00 and 90.00 degrees. Symmetry generates all atoms from Nd at (0.172, 0.328, 0.000), Mg at (0.000, 0.000, 0.000), Ta at (0.137, 0.637, 0.000), Rh at (0.000, 0.500, 0.500) and Rh at (0.056, 0.803, 0.500).

For the calculated formation energy, the calculation gives -0.374 eV per atom.

=====

Entry 2:
BaSc2Ta: optimized geometry, GGA-PBE.

The space group is F-43m (No. 216) and the conventional cell measures 7.502, 7.502 and 7.502 Å, with angles of 90.00, 90.00 and 90.00 degrees. Symmetry generates all atoms from Ba at (0.000, 0.000, 0.000), Sc at (0.000, 0.000, 0.500), Sc at (0.250, 0.250, 0.750) and Ta at (0.250, 0.250, 0.250).

The energy above the most stable polymorph in this dataset is 469.5 meV/atom. For the calculated formation energy, the calculation gives 0.814 eV per atom.

=====

Entry 3:
CsAlSnGe: optimized geometry, GGA-PBE.

The space group is P4/nmm (No. 129, origin choice 2) and the conventional cell measures 4.189, 4.189 and 15.165 Å, with angles of 90.00, 90.00 and 90.00 degrees. Symmetry generates all atoms from Cs at (0.250, 0.250, 0.248), Al at (0.250, 0.750, 0.500), Sn at (0.250, 0.750, 0.000) and Ge at (0.250, 0.250, 0.608).

For the calculated formation energy, the calculation gives -0.113 eV per atom.

=====

Entry 4:
HfZn2Br8: optimized geometry, GGA-PBE.

The space group is C2/m (No. 12) and the conventional cell measures 14.722, 8.587 and 6.413 Å, with angles of 90.00, 90.52 and 90.00 degrees. Symmetry generates all atoms from Hf at (0.000, 0.000, 0.000), Zn at (0.169, 0.000, 0.613), Br at (0.072, 0.215, 0.761), Br at (0.152, 0.000, 0.223) and Br at (0.178, 0.500, 0.307).

The calculation puts the formation energy (no corrections) at -1.04 eV/atom.

=====

Entry 5:
YTaTe: optimized geometry, GGA-PBE.

The space group is P-6m2 (No. 187) and the conventional cell measures 4.8448, 4.8448 and 3.5907 Å, with angles of 90.00, 90.00 and 120.00 degrees. Symmetry generates all atoms from Y at (0.0000, 0.0000, 0.0000), Ta at (0.6667, 0.3333, 0.5000) and Te at (0.3333, 0.6667, 0.5000).

The energy above the most stable polymorph in this dataset is 184.6 meV/atom. The calculation puts the formation energy (no corrections) at 0.02 eV/atom.

=====

Entry 6:
KLiSbI2: optimized geometry, GGA-PBE.

The space group is P4/mmm (No. 123) and the conventional cell measures 5.808, 5.808 and 5.179 Å, with angles of 90.00, 90.00 and 90.00 degrees. Symmetry generates all atoms from K at (0.000, 0.000, 0.000), Li at (0.500, 0.500, 0.500), Sb at (0.500, 0.500, 0.000) and I at (0.000, 0.500, 0.500).

The energy above the most stable polymorph in this dataset is 0.0 meV/atom. The calculation puts the formation energy (no corrections) at -0.47 eV/atom.

=====

Entry 7:
Tb3PrY4S8: optimized geometry, GGA-PBE.

The space group is R-3m (No. 166, hexagonal axes) and the conventional cell measures 7.8927, 7.8927 and 19.3480 Å, with angles of 90.00, 90.00 and 120.00 degrees. Symmetry generates all atoms from Tb at (0.0000, 0.5000, 0.0000), Pr at (0.0000, 0.0000, 0.0000), Y at (0.0000, 0.0000, 0.5000), Y at (0.0000, 0.5000, 0.5000), S at (0.0000, 0.0000, 0.2497) and S at (0.0074, 0.5037, 0.2478).

The calculation puts the formation energy (no corrections) at -2.00 eV/atom.

=====

Entry 8:
SmAsRuF: optimized geometry, GGA-PBE.

The space group is P4/nmm (No. 129, origin choice 2) and the conventional cell measures 4.118, 4.118 and 8.072 Å, with angles of 90.00, 90.00 and 90.00 degrees. Symmetry generates all atoms from Sm at (0.250, 0.250, 0.187), As at (0.250, 0.250, 0.666), Ru at (0.250, 0.750, 0.500) and F at (0.250, 0.750, 0.000).

The calculation puts the formation energy (no corrections) at -1.87 eV/atom.

=====

Number 1: DFT total energy -150.68 eV per cell. Number 2: DFT total energy -92.73 eV per cell. Number 3: DFT total energy -27.34 eV per cell. Number 4: DFT total energy -74.64 eV per cell. Number 5: DFT total energy -21.39 eV per cell. Number 6: DFT total energy -12.60 eV per cell. Number 7: DFT total energy -328.47 eV per cell. Number 8: DFT total energy -55.96 eV per cell.